Record 1
# LaCd2Hg4

LaCd2Hg4 after structural relaxation (PBE, Alexandria).

Cell: 6.2634 5.8385 6.2634 Å, 119.37 106.42 60.63°
Fractional positions:
Hg1 0.6078 0.6960 0.9942
Hg2 0.9942 0.3040 0.6078
Hg3 0.3922 0.3040 0.0058
Hg4 0.0058 0.6960 0.3922
Cd1 0.5081 0.7460 0.4919
Cd2 0.4919 0.2540 0.5081
La1 0.0000 0.0000 0.0000

Summary:
calculated density	11148	kg/m3
formation energy	-0.207	eV per atom
total DFT energy (no corrections)	-1.345	eV/atom
relative energy among the computed polymorphs	0.030	eV/atom


Record 2
# La2SiOs2

La2SiOs2 after structural relaxation (PBE, Alexandria).

Cell: 5.9023 5.7386 7.7937 Å, 101.90 90.00 120.95°
Fractional positions:
La1 0.2100 0.7094 0.3587
La2 0.7900 0.2906 0.6413
La3 0.4993 0.7094 0.8587
La4 0.5007 0.2906 0.1413
Si1 0.0817 0.0000 0.7500
Si2 0.9183 0.0000 0.2500
Os1 0.0122 0.7267 0.9852
Os2 0.2855 0.2733 0.5148
Os3 0.7145 0.7267 0.4852
Os4 0.9878 0.2733 0.0148

Summary:
calculated density	10373	kg/m3
total DFT energy (no corrections)	-7.922	eV/atom
relative energy among the computed polymorphs	0.000	eV/atom
energy relative to the elements, uncorrected	-1.87	eV/f.u.


Among the records above, which one has the lowest total DFT energy (no corrections)?
La2SiOs2


What is the total DFT energy (no corrections) in the first record?
-1.345 eV/atom


Which of these has the lowest relative energy among the computed polymorphs?
La2SiOs2